1.
# PBE TbHoMg, relaxed
data_TbHoMg
_chemical_formula_sum 'Tb2 Ho2 Mg2'
_symmetry_space_group_name_H-M 'P 1'
_symmetry_Int_Tables_number 1
_symmetry_space_group_name_Hall 'P 1'
_cell_length_a 6.383
_cell_length_b 6.383
_cell_length_c 5.350
_cell_angle_alpha 90.00
_cell_angle_beta 90.00
_cell_angle_gamma 65.02
loop_
_atom_site_label
_atom_site_fract_x
_atom_site_fract_y
_atom_site_fract_z
_atom_site_occupancy
Ho1 0.000 0.500 0.000 1
Tb1 0.750 0.250 0.500 1
Tb2 0.250 0.750 0.500 1
Mg1 0.750 0.750 0.500 1
Mg2 0.250 0.250 0.500 1
Ho2 0.500 0.000 0.000 1
# M_tot = 0.00 μB per atom
# density of states at the Fermi level = 4.20 states/eV/f.u.
# energy of formation from the pure elements = 34.7 kJ/mol of atoms
# ΔE to the lowest computed polymorph = 397.9 meV/atom
# space group = Pmmm

---

2.
# PBE TbHo2Mg2, relaxed
data_TbHo2Mg2
_chemical_formula_sum 'Tb2 Ho4 Mg4'
_symmetry_space_group_name_H-M 'P 1'
_symmetry_Int_Tables_number 1
_symmetry_space_group_name_Hall 'P 1'
_cell_length_a 3.710
_cell_length_b 5.431
_cell_length_c 14.039
_cell_angle_alpha 90.00
_cell_angle_beta 97.59
_cell_angle_gamma 90.00
loop_
_atom_site_label
_atom_site_fract_x
_atom_site_fract_y
_atom_site_fract_z
_atom_site_occupancy
Mg1 0.361 0.250 0.720 1
Tb1 0.848 0.750 0.696 1
Ho1 0.763 0.250 0.525 1
Mg2 0.554 0.250 0.107 1
Mg3 0.446 0.750 0.893 1
Ho2 0.956 0.250 0.912 1
Ho3 0.044 0.750 0.088 1
Tb2 0.152 0.250 0.304 1
Mg4 0.639 0.750 0.280 1
Ho4 0.237 0.750 0.475 1
# M_tot = 0.00 μB per atom
# density of states at the Fermi level = 5.62 states/eV/f.u.
# energy of formation from the pure elements = -6.3 kJ/mol of atoms
# ΔE to the lowest computed polymorph = 0.0 meV/atom
# space group = P2_1/m

---

3.
# PBE Tb2Ho6Mg, relaxed
data_Tb2Ho6Mg
_chemical_formula_sum 'Tb4 Ho12 Mg2'
_symmetry_space_group_name_H-M 'P 1'
_symmetry_Int_Tables_number 1
_symmetry_space_group_name_Hall 'P 1'
_cell_length_a 5.001
_cell_length_b 10.463
_cell_length_c 10.464
_cell_angle_alpha 90.00
_cell_angle_beta 89.99
_cell_angle_gamma 90.00
loop_
_atom_site_label
_atom_site_fract_x
_atom_site_fract_y
_atom_site_fract_z
_atom_site_occupancy
Ho1 0.000 0.666 0.500 1
Ho2 0.000 0.667 0.833 1
Mg1 0.000 0.000 0.500 1
Tb1 0.000 0.334 0.834 1
Ho3 0.000 0.000 0.834 1
Ho4 0.500 0.500 0.334 1
Ho5 0.500 0.500 0.666 1
Ho6 0.500 0.166 0.000 1
Ho7 0.500 0.833 0.333 1
Tb2 0.500 0.834 0.666 1
Tb3 0.000 0.666 0.166 1
Mg2 0.500 0.500 0.000 1
Ho8 0.500 0.167 0.667 1
Ho9 0.000 0.334 0.500 1
Ho10 0.000 0.000 0.166 1
Ho11 0.500 0.834 0.000 1
Ho12 0.000 0.333 0.167 1
Tb4 0.500 0.166 0.334 1
# M_tot = 0.00 μB per atom
# density of states at the Fermi level = 12.47 states/eV/f.u.
# energy of formation from the pure elements = 2.3 kJ/mol of atoms
# ΔE to the lowest computed polymorph = 0.0 meV/atom
# space group = P4_2/mnm